VASP calculation (GGA-PBE) on a relaxed structure of La3Ga11.

It has space group Immm (No. 71), with a = 4.379 Å, b = 10.173 Å, c = 13.173 Å, α = 90.00°, β = 90.00° and γ = 90.00°. The asymmetric unit holds La at (0.000, 0.000, 0.000), La at (0.000, 0.000, 0.322), Ga at (0.000, 0.220, 0.500), Ga at (0.000, 0.270, 0.146), Ga at (0.000, 0.372, 0.335) and Ga at (0.000, 0.500, 0.000).

The calculation puts the formation energy from the elements at -713 kJ/mol of formula units.